one | SiSnSe2 after structural relaxation. Source: the Alexandria database, functional GGA-PBE.

The space group is Fm-3m (No. 225) and the conventional cell measures 7.038, 7.038 and 7.038 Å, with angles of 90.00, 90.00 and 90.00 degrees. The asymmetric unit holds Si at (0.000, 0.000, 0.000), Sn at (0.000, 0.000, 0.500) and Se at (0.250, 0.250, 0.250).

The density of states at the Fermi level comes out at 0.770 states/eV per atom. The value obtained for the total magnetization is 0.00 μB/cell. The calculation puts the calculated density at 5806 kg/m³.

=====

two | SiSnSe2 after structural relaxation. Source: the Alexandria database, functional GGA-PBE.

The space group is R-3m (No. 166, hexagonal axes) and the conventional cell measures 3.9651, 3.9651 and 25.1087 Å, with angles of 90.00, 90.00 and 120.00 degrees. The asymmetric unit holds Si at (0.0000, 0.0000, 0.0000), Sn at (0.0000, 0.0000, 0.5000) and Se at (0.0000, 0.0000, 0.0967).

The density of states at the Fermi level comes out at 0.498 states/eV per atom. The value obtained for the total magnetization is 0.00 μB/cell. The calculation puts the calculated density at 4440 kg/m³.

=====

Winner for stability: two

=====

one | SiSnSe2 after structural relaxation. Source: the Alexandria database, functional GGA-PBE.

The space group is R-3m (No. 166, hexagonal axes) and the conventional cell measures 3.5693, 3.5693 and 26.6302 Å, with angles of 90.00, 90.00 and 120.00 degrees. The asymmetric unit holds Si at (0.0000, 0.0000, 0.0000), Sn at (0.0000, 0.0000, 0.5000) and Se at (0.0000, 0.0000, 0.3873).

The density of states at the Fermi level comes out at 0.391 states/eV per atom. The value obtained for the total magnetization is 0.00 μB/cell. The calculation puts the calculated density at 5166 kg/m³.

=====

two | SiSnSe2 after structural relaxation. Source: the Alexandria database, functional GGA-PBE.

The space group is I-42d (No. 122) and the conventional cell measures 7.323, 7.323 and 7.463 Å, with angles of 90.00, 90.00 and 90.00 degrees. The asymmetric unit holds Si at (0.000, 0.000, 0.000), Sn at (0.000, 0.000, 0.500) and Se at (0.208, 0.250, 0.125).

The density of states at the Fermi level comes out at 0.417 states/eV per atom. The value obtained for the total magnetization is 0.00 μB/cell. The calculation puts the calculated density at 5057 kg/m³.

=====

Winner for stability: one